Ac2Np2Se7 | PBE | optimized geometry

Lattice parameters (Å, degrees): 7.021 7.041 7.021 89.99 97.23 90.01
Site moments in Bohr magnetons follow the coordinates.
Fractional coordinates of all 11 atoms:
Np  0.268  0.000  0.732  3.43
Se  0.500  0.751  0.000  -0.10
Se  0.000  0.751  0.500  -0.10
Se  0.000  0.000  0.000  -0.14
Np  0.732  0.000  0.268  3.43
Se  0.500  0.249  0.000  -0.10
Se  0.500  0.772  0.500  -0.08
Se  0.000  0.249  0.500  -0.10
Ac  0.255  0.500  0.255  -0.01
Se  0.500  0.228  0.500  -0.08
Ac  0.745  0.500  0.745  -0.01

Calculated values
ρ   7.14 g/cm³
DOS(E_F)   19.9 states/eV per cell
Final energy   -6.664 eV/atom
Symmetry   No. 65


La12Y5Tm | PBE | optimized geometry

Lattice parameters (Å, degrees): 6.412 6.412 17.835 86.93 86.93 120.14
Fractional coordinates of all 18 atoms:
Y  0.333  0.667  0.000
Y  0.667  0.333  0.000
La  0.554  0.221  0.335
La  0.383  0.053  0.835
Y  0.167  0.833  0.500
La  0.617  0.947  0.165
Y  0.500  0.500  0.500
Tm  0.000  0.000  0.000
La  0.277  0.277  0.165
La  0.446  0.779  0.665
La  0.053  0.383  0.835
La  0.723  0.723  0.835
La  0.947  0.617  0.165
La  0.887  0.887  0.335
La  0.221  0.554  0.335
Y  0.833  0.167  0.500
La  0.113  0.113  0.665
La  0.779  0.446  0.665

Calculated values
ρ   6.01 g/cm³
DOS(E_F)   28.9 states/eV per cell
Symmetry   No. 12
Energy relative to the elements   15.2 meV per atom


ZrScTc | PBE | optimized geometry

Lattice parameters (Å, degrees): 4.889 3.359 14.346 90.00 90.00 90.00
Fractional coordinates of all 12 atoms:
Tc  0.500  0.000  0.064
Zr  0.000  0.000  0.263
Zr  0.000  0.500  0.763
Sc  0.500  0.000  0.708
Sc  0.500  0.000  0.412
Tc  0.500  0.500  0.564
Zr  0.000  0.500  0.058
Sc  0.500  0.500  0.208
Tc  0.000  0.500  0.406
Zr  0.000  0.000  0.558
Tc  0.000  0.000  0.906
Sc  0.500  0.500  0.912

Calculated values
ρ   6.60 g/cm³
DOS(E_F)   11.9 states/eV per cell
Energy above the most stable polymorph in this dataset   0.024 eV/atom
Symmetry   No. 38
Energy relative to the elements   -204.7 meV per atom